Ti6P2O | Alexandria via LeMat-Bulk | GGA-PBE | optimized geometry; D(E_F) = 0.707 states/eV/atom; formation energy (no corrections) = -1.31 eV/atom; energy relative to the lowest polymorph listed for this composition = 0.000 eV per atom
1.0
-3.9792 -3.0446 -1.3954
-1.6228 -4.9404 -0.0951
-3.2398 0.7504 6.9652
Ti P O
6 2 1
Direct
0.5554 0.5554 0.7598
0.4446 0.4446 0.2402
0.8627 0.8627 0.5472
0.1373 0.1373 0.4528
0.8606 0.8606 0.9436
0.1394 0.1394 0.0564
0.2505 0.2505 0.7517
0.7495 0.7495 0.2483
0.5000 0.5000 0.5000


PaMn2Co | Alexandria via LeMat-Bulk | GGA-PBE | optimized geometry; D(E_F) = 0.830 states/eV/atom; energy relative to the lowest polymorph listed for this composition = 0.513 eV per atom
1.0
-1.7916 1.6388 -1.5622
-2.5352 -1.0660 -0.8788
-5.3211 3.1711 6.7610
Pa Co Mn
1 1 2
Direct
0.0000 0.0000 0.0000
0.5000 0.5000 0.5000
0.0979 0.0979 0.7064
0.9021 0.9021 0.2936